First-principles (PBE-GGA) data for crystalline AcYAs2 at its relaxed geometry, as listed in Alexandria.

```
4
Lattice="3.7428 0.0000 0.0000 0.0000 5.3003 0.0000 0.0000 0.0000 5.3003" Properties=species:S:1:pos:R:3 pbc="T T T"
As 0.0000 0.0000 2.6501
As 0.0000 2.6501 0.0000
Ac 1.8714 0.0000 0.0000
Y 1.8714 2.6501 2.6501
```

Output
As for the density of states at the Fermi level: 0.447 states/eV per atom. Its total energy is -23.99 eV/cell. The space group is No. 123. The polymorph energy (0 for the lowest one) is 0.4561 eV per atom. Its formation energy is -99.4 kJ/mol of atoms.

First-principles (PBE-GGA) data for crystalline AcY2As at its relaxed geometry, as listed in Alexandria.

```
4
Lattice="-1.2445 -0.6044 -3.7217 0.9346 -3.3681 -1.8835 -8.1293 -5.4246 1.4814" Properties=species:S:1:pos:R:3 pbc="T T T"
Y -1.5014 -2.0384 -1.2849
Y -6.9378 -7.3587 -2.8389
Ac -4.2196 -4.6985 -2.0619
As 0.0000 0.0000 0.0000
```

Output
As for the density of states at the Fermi level: 0.895 states/eV per atom. Its total energy is -24.38 eV/cell. The space group is No. 166. Its formation energy is -64.9 kJ/mol of atoms.

First-principles (PBE-GGA) data for crystalline AcYAs2 at its relaxed geometry, as listed in Alexandria.

```
4
Lattice="4.2837 0.0000 0.0000 2.1418 3.7098 0.0000 2.1418 1.2366 7.4138" Properties=species:S:1:pos:R:3 pbc="T T T"
Y 4.2837 2.4732 3.7439
As 2.1418 1.2366 1.9988
As 2.1418 1.2366 5.4377
Ac 6.4255 3.7098 7.3540
```

Output
As for the density of states at the Fermi level: 0.065 states/eV per atom. Its total energy is -25.16 eV/cell. The space group is No. 160. The polymorph energy (0 for the lowest one) is 0.1643 eV per atom. Its formation energy is -127.6 kJ/mol of atoms.

First-principles (PBE-GGA) data for crystalline Ac4YAs5 at its relaxed geometry, as listed in Alexandria.

```
10
Lattice="5.7171 0.0000 2.7575 2.8585 7.0644 1.3787 -0.2105 0.0000 7.7417" Properties=species:S:1:pos:R:3 pbc="T T T"
As 6.1031 2.7103 9.2778
As 4.5457 1.3592 5.2016
As 2.2741 4.3541 2.6059
As 3.8315 5.7052 6.6822
As 2.8630 0.0000 1.3809
Ac 5.1059 4.2647 4.0408
Ac 3.2719 2.7997 7.8433
Ac 1.6486 1.4214 3.9035
Ac 6.7292 5.6430 7.9806
Y 0.0049 0.0000 0.0024
```

Output
As for the density of states at the Fermi level: 0.095 states/eV per atom. Its total energy is -60.75 eV/cell. The space group is No. 87. Its formation energy is -140.9 kJ/mol of atoms.